[1]
An optimized crystal structure of PaAgHg, computed with PBE.

## Properties
SG: F-43m (216)
Offset from the most stable computed form in eV/atom: 0.314
Energy of formation from the pure elements in eV per atom: 0.641

abc: 4.9350 4.9350 4.9350
angles: 60.00 60.00 60.00
Fractional coordinates of all 3 atoms:
1 Pa 0.0000 0.0000 0.0000
2 Ag 0.2500 0.2500 0.2500
3 Hg 0.7500 0.7500 0.7500



[2]
An optimized crystal structure of PaAgHg, computed with PBE.

## Properties
SG: F-43m (216)
Offset from the most stable computed form in eV/atom: 0.000
Energy of formation from the pure elements in eV per atom: 0.327

abc: 4.7666 4.7666 4.7666
angles: 60.00 60.00 60.00
Fractional coordinates of all 3 atoms:
1 Pa 0.7500 0.7500 0.7500
2 Ag 0.0000 0.0000 0.0000
3 Hg 0.2500 0.2500 0.2500



[3]
An optimized crystal structure of Ag2HgPb, computed with PBE.

## Properties
SG: F-43m (216)

abc: 5.0232 5.0232 5.0232
angles: 60.00 60.00 60.00
Fractional coordinates of all 4 atoms:
1 Ag 0.0000 0.0000 0.0000
2 Hg 0.2500 0.2500 0.2500
3 Pb 0.5000 0.5000 0.5000
4 Ag 0.7500 0.7500 0.7500



[4]
An optimized crystal structure of AgHg2Pb, computed with PBE.

## Properties
SG: F-43m (216)

abc: 5.1908 5.1908 5.1908
angles: 60.00 60.00 60.00
Fractional coordinates of all 4 atoms:
1 Ag 0.2500 0.2500 0.2500
2 Pb 0.5000 0.5000 0.5000
3 Hg 0.0000 0.0000 0.0000
4 Hg 0.7500 0.7500 0.7500



[5]
An optimized crystal structure of AgHgPb, computed with PBE.

## Properties
SG: Pnma (62)

abc: 6.9000 4.5656 9.3316
angles: 90.00 90.00 90.00
Fractional coordinates of all 12 atoms:
1 Ag 0.6586 0.7500 0.2752
2 Ag 0.3414 0.2500 0.7248
3 Hg 0.3721 0.2500 0.0476
4 Pb 0.1133 0.7500 0.8818
5 Ag 0.8414 0.2500 0.7752
6 Ag 0.1586 0.7500 0.2248
7 Pb 0.3867 0.2500 0.3818
8 Pb 0.8867 0.2500 0.1182
9 Pb 0.6133 0.7500 0.6182
10 Hg 0.8721 0.2500 0.4524
11 Hg 0.1279 0.7500 0.5476
12 Hg 0.6279 0.7500 0.9524



[6]
An optimized crystal structure of AgHgPb2, computed with PBE.

## Properties
SG: F-43m (216)

abc: 5.3053 5.3053 5.3053
angles: 60.00 60.00 60.00
Fractional coordinates of all 4 atoms:
1 Hg 0.7500 0.7500 0.7500
2 Pb 0.0000 0.0000 0.0000
3 Pb 0.2500 0.2500 0.2500
4 Ag 0.5000 0.5000 0.5000



[7]
An optimized crystal structure of AgHgPb, computed with PBE.

## Properties
SG: Pnma (62)

abc: 6.5305 4.4894 9.9011
angles: 90.00 90.00 90.00
Fractional coordinates of all 12 atoms:
1 Hg 0.1427 0.2500 0.3938
2 Pb 0.8419 0.7500 0.9203
3 Ag 0.5969 0.2500 0.7537
4 Hg 0.6427 0.2500 0.1062
5 Pb 0.3419 0.7500 0.5797
6 Ag 0.0969 0.2500 0.7463
7 Hg 0.8573 0.7500 0.6062
8 Ag 0.4031 0.7500 0.2463
9 Ag 0.9031 0.7500 0.2537
10 Pb 0.1581 0.2500 0.0797
11 Hg 0.3573 0.7500 0.8938
12 Pb 0.6581 0.2500 0.4203



[8]
An optimized crystal structure of Ag2HgPbSeS3, computed with PBE.

## Properties
SG: Cm (8)

abc: 5.9632 5.9632 7.4048
angles: 113.83 113.83 89.29
Fractional coordinates of all 8 atoms:
1 Ag 0.2572 0.7318 0.4904
2 Hg 0.9981 0.9981 0.0042
3 S 0.6253 0.6253 0.7507
4 Se 0.1191 0.1191 0.7369
5 Ag 0.7318 0.2572 0.4904
6 S 0.3825 0.8794 0.2609
7 S 0.8794 0.3825 0.2609
8 Pb 0.5065 0.5065 0.0056



[9]
An optimized crystal structure of AgHg2Pd6, computed with PBE.

## Properties
SG: C2/m (12)
Energy of formation from the pure elements in eV per atom: -0.134

abc: 4.8860 4.8860 8.5305
angles: 104.51 104.51 49.89
Fractional coordinates of all 9 atoms:
1 Pd 0.3378 0.3378 0.6133
2 Pd 0.0056 0.0056 0.8393
3 Hg 0.6739 0.6739 0.7269
4 Pd 0.6622 0.6622 0.3867
5 Pd 0.6629 0.6629 0.0550
6 Ag 0.0000 0.0000 0.5000
7 Hg 0.3261 0.3261 0.2731
8 Pd 0.9944 0.9944 0.1607
9 Pd 0.3371 0.3371 0.9450



[10]
An optimized crystal structure of AgHg2Pd2, computed with PBE.

## Properties
SG: I4/mmm (139)
Offset from the most stable computed form in eV/atom: 0.000
Energy of formation from the pure elements in eV per atom: 0.158

abc: 6.7600 6.7600 6.7600
angles: 144.86 144.86 50.55
Fractional coordinates of all 5 atoms:
1 Pd 0.7500 0.2500 0.5000
2 Ag 0.0000 0.0000 0.0000
3 Pd 0.2500 0.7500 0.5000
4 Hg 0.3927 0.3927 0.0000
5 Hg 0.6073 0.6073 0.0000



[11]
An optimized crystal structure of AgHg2Pd2, computed with PBE.

## Properties
SG: I4/mmm (139)
Offset from the most stable computed form in eV/atom: 0.067
Energy of formation from the pure elements in eV per atom: 0.224

abc: 6.6436 6.6436 6.6436
angles: 143.13 143.13 53.12
Fractional coordinates of all 5 atoms:
1 Pd 0.3950 0.3950 0.0000
2 Hg 0.2500 0.7500 0.5000
3 Hg 0.7500 0.2500 0.5000
4 Pd 0.6050 0.6050 0.0000
5 Ag 0.0000 0.0000 0.0000



[12]
An optimized crystal structure of Pr3AgHg3Pd2, computed with PBE.

## Properties
SG: P-62m (189)
Energy of formation from the pure elements in eV per atom: -0.607

abc: 7.9207 7.9207 3.9680
angles: 90.00 90.00 120.00
Fractional coordinates of all 9 atoms:
1 Pr 0.4074 0.0000 0.5000
2 Ag 0.0000 0.0000 0.5000
3 Pr 0.0000 0.4074 0.5000
4 Hg 0.7323 0.0000 0.0000
5 Hg 0.2677 0.2677 0.0000
6 Pd 0.3333 0.6667 0.0000
7 Hg 0.0000 0.7323 0.0000
8 Pr 0.5926 0.5926 0.5000
9 Pd 0.6667 0.3333 0.0000



| no. | mass density (g/cm³) | VASP energy (eV/atom) |
| --- | --- | --- |
| 1 | 10.54 | -3.565 |
| 2 | 11.70 | -3.879 |
| 3 | 11.55 | -2.263 |
| 4 | 12.03 | -1.651 |
| 5 | 11.65 | -2.165 |
| 6 | 11.37 | -2.492 |
| 7 | 11.80 | -2.167 |
| 8 | 6.12 | -3.314 |
| 9 | 12.73 | -3.964 |
| 10 | 11.77 | -2.596 |
| 11 | 11.43 | -2.530 |
| 12 | 10.36 | -3.762 |